VASP calculation (GGA-PBE) on crystalline Ca2Ac7Co2 at its relaxed geometry.

Lattice parameters (Å, degrees): 3.9169 11.2746 11.2746 58.48 80.00 80.00
Closest atoms and distances in Å follow each position.
Sites, in units of the cell vectors:
Co 0.7213 0.8666 0.6908  6 Ac 2.91-2.95
Ca 0.5000 0.4057 0.5943  7 Ac 3.82-4.00, 4 Ca 3.92-4.01
Ac 0.1581 0.0939 0.5898  2 Co 2.93
Co 0.2787 0.3092 0.1334  6 Ac 2.91-2.95
Ac 0.8274 0.0796 0.2656  2 Co 2.95
Ac 0.8419 0.4102 0.9061  2 Co 2.93
Ac 0.5000 0.0466 0.9534  10 Ac 3.92-4.27, 3 Ca 3.96-4.06, 2 Co 4.29
Ac 0.1726 0.7344 0.9204  2 Co 2.95
Ac 0.3330 0.7590 0.5751  2 Co 2.91
Ac 0.6670 0.4249 0.2410  2 Co 2.91
Ca 0.0000 0.7238 0.2762  8 Ac 3.89-4.06, 4 Ca 3.92-4.01

Output
total energy: -4.251 eV per atom
formation enthalpy at 0 K: 0.0196 eV per atom
ρ: 7.13 g cm⁻³
DOS(E_F): 14.61 states/eV/f.u.
space-group type: Imm2 (44)